# TiAsAuBr2 (PBE, optimized geometry)
data_TiAsAuBr2
_cell_length_a 4.900
_cell_length_b 4.900
_cell_length_c 5.288
_cell_angle_alpha 90.00
_cell_angle_beta 90.00
_cell_angle_gamma 90.00
_symmetry_space_group_name_H-M 'P 4/m m m'
_symmetry_Int_Tables_number 123
_symmetry_space_group_name_Hall '-P 4 2'
loop_
_atom_site_label
_atom_site_fract_x
_atom_site_fract_y
_atom_site_fract_z
Ti1 0.000 0.000 0.000
As1 0.000 0.000 0.500
Au1 0.500 0.500 0.500
Br1 0.000 0.500 0.000
# Final energy, Ry per atom: -0.2833
# Uncorrected formation energy, meV per atom: -20
# Theoretical density, g/cm3: 6.27

=====

# TiVPb2Cl (PBE, optimized geometry)
data_TiVPb2Cl
_cell_length_a 5.582
_cell_length_b 5.582
_cell_length_c 4.275
_cell_angle_alpha 90.00
_cell_angle_beta 90.00
_cell_angle_gamma 90.00
_symmetry_space_group_name_H-M 'P 4/m m m'
_symmetry_Int_Tables_number 123
_symmetry_space_group_name_Hall '-P 4 2'
loop_
_atom_site_label
_atom_site_fract_x
_atom_site_fract_y
_atom_site_fract_z
Ti1 0.000 0.000 0.000
V1 0.000 0.000 0.500
Pb1 0.000 0.500 0.000
Cl1 0.500 0.500 0.500
# Final energy, Ry per atom: -0.3475
# Uncorrected formation energy, meV per atom: 527
# Theoretical density, g/cm3: 6.84

=====

# Cs3SbO3 (PBE, optimized geometry)
data_Cs3SbO3
_cell_length_a 9.374
_cell_length_b 9.374
_cell_length_c 9.374
_cell_angle_alpha 90.00
_cell_angle_beta 90.00
_cell_angle_gamma 90.00
_symmetry_space_group_name_H-M 'P 21 3'
_symmetry_Int_Tables_number 198
_symmetry_space_group_name_Hall 'P 2ac 2ab 3'
loop_
_atom_site_label
_atom_site_fract_x
_atom_site_fract_y
_atom_site_fract_z
Cs1 0.012 0.012 0.012
Cs2 0.224 0.276 0.724
Cs3 0.229 0.729 0.771
Sb1 0.000 0.000 0.500
O1 0.004 0.207 0.464
# Final energy, Ry per atom: -0.3360
# Uncorrected formation energy, meV per atom: -1491
# Theoretical density, g/cm3: 4.58

=====

# PrDyEr6 (PBE, optimized geometry)
data_PrDyEr6
_cell_length_a 9.5710
_cell_length_b 9.5710
_cell_length_c 9.7852
_cell_angle_alpha 90.00
_cell_angle_beta 90.00
_cell_angle_gamma 120.00
_symmetry_space_group_name_H-M 'R -3'
_symmetry_Int_Tables_number 148
_symmetry_space_group_name_Hall '-R 3'
loop_
_atom_site_label
_atom_site_fract_x
_atom_site_fract_y
_atom_site_fract_z
Pr1 0.0000 0.0000 0.0000
Dy1 0.0000 0.0000 0.5000
Er1 0.0015 0.7051 0.2508
# Final energy, Ry per atom: -0.3266
# Energy of formation, meV/atom: 152
# Theoretical density, g/cm3: 8.39

=====

# Mn2H3Pd8 (PBE, optimized geometry)
data_Mn2H3Pd8
_cell_length_a 13.075
_cell_length_b 5.751
_cell_length_c 4.692
_cell_angle_alpha 90.00
_cell_angle_beta 107.90
_cell_angle_gamma 90.00
_symmetry_space_group_name_H-M 'C 1 2/m 1'
_symmetry_Int_Tables_number 12
loop_
_symmetry_equiv_pos_as_xyz
'x,y,z'
'-x,-y,-z'
'-x,y,-z'
'x,-y,z'
'x+1/2,y+1/2,z'
'-x+1/2,-y+1/2,-z'
'-x+1/2,y+1/2,-z'
'x+1/2,-y+1/2,z'
loop_
_atom_site_label
_atom_site_fract_x
_atom_site_fract_y
_atom_site_fract_z
Mn1 0.248 0.000 0.015
H1 0.000 0.165 0.500
H2 0.000 0.500 0.000
Pd1 0.074 0.254 0.848
Pd2 0.133 0.000 0.407
Pd3 0.142 0.500 0.396
# Final energy, Ry per atom: -0.3972
# Theoretical density, g/cm3: 9.54

=====

# FeTc (PBE, optimized geometry)
data_FeTc
_cell_length_a 2.617
_cell_length_b 2.617
_cell_length_c 3.650
_cell_angle_alpha 90.00
_cell_angle_beta 90.00
_cell_angle_gamma 90.00
_symmetry_space_group_name_H-M 'P 4/m m m'
_symmetry_Int_Tables_number 123
_symmetry_space_group_name_Hall '-P 4 2'
loop_
_atom_site_label
_atom_site_fract_x
_atom_site_fract_y
_atom_site_fract_z
Fe1 0.000 0.000 0.000
Tc1 0.500 0.500 0.500
# Final energy, Ry per atom: -0.6845
# Energy of formation, meV/atom: 102
# Theoretical density, g/cm3: 10.22

=====

# PuZnGe (PBE, optimized geometry)
data_PuZnGe
_cell_length_a 2.942
_cell_length_b 5.451
_cell_length_c 15.281
_cell_angle_alpha 90.00
_cell_angle_beta 90.00
_cell_angle_gamma 90.00
_symmetry_space_group_name_H-M 'I m m m'
_symmetry_Int_Tables_number 71
_symmetry_space_group_name_Hall '-I 2 2'
loop_
_atom_site_label
_atom_site_fract_x
_atom_site_fract_y
_atom_site_fract_z
Pu1 0.000 0.000 0.160
Zn1 0.000 0.259 0.500
Ge1 0.000 0.000 0.356
# Final energy, Ry per atom: -0.5124
# Energy of formation, meV/atom: -230
# Theoretical density, g/cm3: 10.36

=====

# YTmInRu (PBE, optimized geometry)
data_YTmInRu
_cell_length_a 3.454
_cell_length_b 3.454
_cell_length_c 7.686
_cell_angle_alpha 90.00
_cell_angle_beta 90.00
_cell_angle_gamma 90.00
_symmetry_space_group_name_H-M 'P 4 m m'
_symmetry_Int_Tables_number 99
loop_
_symmetry_equiv_pos_as_xyz
'x,y,z'
'-y,x,z'
'-x,-y,z'
'y,-x,z'
'-x,y,z'
'y,x,z'
'x,-y,z'
'-y,-x,z'
loop_
_atom_site_label
_atom_site_fract_x
_atom_site_fract_y
_atom_site_fract_z
Y1 0.000 0.000 0.000
Tm1 0.000 0.000 0.573
In1 0.500 0.500 0.291
Ru1 0.500 0.500 0.778
# Final energy, Ry per atom: -0.4574
# Energy of formation, meV/atom: -486
# Theoretical density, g/cm3: 8.58

=====

# NdInAg (PBE, optimized geometry)
data_NdInAg
_cell_length_a 10.976
_cell_length_b 4.852
_cell_length_c 7.564
_cell_angle_alpha 90.00
_cell_angle_beta 130.34
_cell_angle_gamma 90.00
_symmetry_space_group_name_H-M 'C 1 2/m 1'
_symmetry_Int_Tables_number 12
loop_
_symmetry_equiv_pos_as_xyz
'x,y,z'
'-x,-y,-z'
'-x,y,-z'
'x,-y,z'
'x+1/2,y+1/2,z'
'-x+1/2,-y+1/2,-z'
'-x+1/2,y+1/2,-z'
'x+1/2,-y+1/2,z'
loop_
_atom_site_label
_atom_site_fract_x
_atom_site_fract_y
_atom_site_fract_z
Nd1 0.036 0.000 0.295
In1 0.167 0.500 0.116
Ag1 0.164 0.500 0.705
# Final energy, Ry per atom: -0.2825
# Energy of formation, meV/atom: -391
# Theoretical density, g/cm3: 7.94

=====

# Tm3Mn2Ni7 (PBE, optimized geometry)
data_Tm3Mn2Ni7
_cell_length_a 5.0329
_cell_length_b 5.0329
_cell_length_c 24.1187
_cell_angle_alpha 90.00
_cell_angle_beta 90.00
_cell_angle_gamma 120.00
_symmetry_space_group_name_H-M 'R -3 m'
_symmetry_Int_Tables_number 166
_symmetry_space_group_name_Hall '-R 3 2"'
loop_
_atom_site_label
_atom_site_fract_x
_atom_site_fract_y
_atom_site_fract_z
Tm1 0.0000 0.0000 0.0000
Tm2 0.0000 0.0000 0.1393
Mn1 0.0000 0.0000 0.3330
Ni1 0.0000 0.0000 0.5000
Ni2 0.0000 0.5000 0.0828
# Final energy, Ry per atom: -0.4701
# Energy of formation, meV/atom: -377
# Theoretical density, g/cm3: 9.68